(1)
DFT (PBE) results for Al2AsW after structural relaxation.

Cell and atoms, written as POSCAR:
```
Al2AsW
1.0
2.816 0.000 0.000
0.000 2.816 0.000
0.000 0.000 8.342
Al As W
2 1 1
Direct
0.000 0.000 0.233
0.000 0.000 0.767
0.500 0.500 0.500
0.500 0.500 0.000
```

The calculation puts the raw total energy at -6.12 eV per atom. Its formation energy is 149 meV/atom. The calculation puts the size of the total moment at 0.00 μB per formula unit. The density of states at the Fermi level is 0.486 states/eV per atom. Its crystal system is tetragonal.

=====

(2)
DFT (PBE) results for AlAsW2 after structural relaxation.

Cell and atoms, written as POSCAR:
```
AlAsW2
1.0
4.498 -1.565 0.000
4.498 1.565 0.000
-0.489 0.000 4.553
Al As W
1 1 2
Direct
0.000 0.000 0.000
0.500 0.500 0.500
0.252 0.252 0.755
0.748 0.748 0.245
```

The calculation puts the raw total energy at -8.36 eV per atom. Its formation energy is 217 meV/atom. The calculation puts the size of the total moment at 0.00 μB per formula unit. As for the distance to the lowest polymorph of the same formula: 98 kJ/mol of formula units. The density of states at the Fermi level is 0.364 states/eV per atom. Its crystal system is monoclinic.

=====

(3)
DFT (PBE) results for AlAsW2 after structural relaxation.

Cell and atoms, written as POSCAR:
```
AlAsW2
1.0
4.542 -1.560 0.000
4.542 1.560 0.000
-1.274 0.000 4.383
Al As W
1 1 2
Direct
0.000 0.000 0.000
0.249 0.249 0.681
0.506 0.506 0.506
0.746 0.746 0.175
```

The calculation puts the raw total energy at -8.41 eV per atom. Its formation energy is 168 meV/atom. The calculation puts the size of the total moment at 0.00 μB per formula unit. As for the distance to the lowest polymorph of the same formula: 80 kJ/mol of formula units. The density of states at the Fermi level is 0.583 states/eV per atom. Its crystal system is monoclinic.

=====

(4)
DFT (PBE) results for Al2AsW after structural relaxation.

Cell and atoms, written as POSCAR:
```
Al2AsW
1.0
4.635 -1.459 0.000
4.635 1.459 0.000
-0.518 0.000 4.754
Al As W
2 1 1
Direct
0.000 0.000 0.000
0.249 0.249 0.751
0.473 0.473 0.470
0.740 0.740 0.237
```

The calculation puts the raw total energy at -6.19 eV per atom. Its formation energy is 80 meV/atom. The calculation puts the size of the total moment at 0.00 μB per formula unit. The density of states at the Fermi level is 0.363 states/eV per atom. Its crystal system is monoclinic.

=====

(5)
DFT (PBE) results for AlAs4W2 after structural relaxation.

Cell and atoms, written as POSCAR:
```
AlAs4W2
1.0
-2.431 2.431 6.341
2.431 -2.431 6.341
2.431 2.431 -6.341
Al As W
1 4 2
Direct
0.000 0.000 0.000
0.000 0.500 0.500
0.210 0.210 0.000
0.500 0.000 0.500
0.790 0.790 0.000
0.400 0.400 0.000
0.600 0.600 0.000
```

The calculation puts the raw total energy at -6.01 eV per atom. Its formation energy is 878 meV/atom. The calculation puts the size of the total moment at 1.53 μB per formula unit. The density of states at the Fermi level is 0.839 states/eV per atom. Its crystal system is tetragonal.

=====

(6)
DFT (PBE) results for AlAs3W after structural relaxation.

Cell and atoms, written as POSCAR:
```
AlAs3W
1.0
4.694 0.000 0.000
0.000 4.694 0.000
0.000 0.000 4.694
Al As W
1 3 1
Direct
0.000 0.000 0.000
0.000 0.000 0.500
0.000 0.500 0.000
0.500 0.000 0.000
0.500 0.500 0.500
```

The calculation puts the raw total energy at -4.73 eV per atom. Its formation energy is 1397 meV/atom. The calculation puts the size of the total moment at 0.00 μB per formula unit. As for the distance to the lowest polymorph of the same formula: 396 kJ/mol of formula units. The density of states at the Fermi level is 1.158 states/eV per atom. Its crystal system is cubic.